No. 1
Below is a relaxed CaLa2Ag crystal, with properties calculated at the PBE level.

Unit cell a=3.769 b=3.769 c=11.420 alpha=80.50 beta=80.50 gamma=60.00
Fractional positions:
Ca  0.499  0.499  0.502
La  0.071  0.071  0.788
La  0.263  0.263  0.211
Ag  0.667  0.667  0.998

Results
- Space group: No. 160
- DOS at the Fermi energy: 5.15 states/eV per cell
- Theoretical density: 5.1 Mg/m³
- Total magnetic moment: 0.0 μB/f.u.
- Calculated total energy: -3.645 eV/atom
- DFT formation energy: 31 meV per atom
- Excess energy over the best structure of this formula in the dataset: 123 meV per atom

---

No. 2
Below is a relaxed Y2CuP crystal, with properties calculated at the PBE level.

Unit cell a=4.003 b=4.003 c=7.128 alpha=73.72 beta=73.72 gamma=59.95
Fractional positions:
Cu  0.250  0.250  0.250
P  0.750  0.750  0.750
Y  0.007  0.007  0.981
Y  0.493  0.493  0.519

Results
- Space group: No. 166
- DOS at the Fermi energy: 4.20 states/eV per cell
- Theoretical density: 4.8 Mg/m³
- Total magnetic moment: 0.0 μB/f.u.
- Calculated total energy: -6.397 eV/atom
- DFT formation energy: -789 meV per atom

---

No. 3
Below is a relaxed NaGa2OsBr crystal, with properties calculated at the PBE level.

Unit cell a=4.763 b=5.749 c=4.763 alpha=90.00 beta=90.00 gamma=90.00
Fractional positions:
Na  0.500  0.500  0.500
Os  0.000  0.000  0.000
Ga  0.000  0.000  0.500
Ga  0.500  0.000  0.000
Br  0.000  0.500  0.000

Results
- Space group: No. 123
- DOS at the Fermi energy: 2.00 states/eV per cell
- Theoretical density: 5.5 Mg/m³
- Total magnetic moment: 0.0 μB/f.u.
- Calculated total energy: -4.024 eV/atom
- Formation energy from raw total energies: 0.16 eV per formula unit

---

No. 4
Below is a relaxed Rb3Pu2GaO9 crystal, with properties calculated at the PBE level.

Unit cell a=5.918 b=5.918 c=7.281 alpha=90.00 beta=90.00 gamma=120.00
Fractional positions:
Rb  0.333  0.667  0.662
Rb  0.000  0.000  0.000
Rb  0.667  0.333  0.338
Pu  0.333  0.667  0.178
Pu  0.667  0.333  0.822
Ga  0.000  0.000  0.500
O  0.834  0.166  0.666
O  0.834  0.667  0.666
O  0.333  0.166  0.666
O  0.667  0.834  0.334
O  0.166  0.333  0.334
O  0.166  0.834  0.334
O  0.500  0.000  0.000
O  0.000  0.500  0.000
O  0.500  0.500  0.000

Results
- Space group: No. 164
- DOS at the Fermi energy: 8.87 states/eV per cell
- Theoretical density: 7.2 Mg/m³
- Total magnetic moment: 4.0 μB/f.u.
- Calculated total energy: -7.431 eV/atom
- Formation energy from raw total energies: -32.25 eV per formula unit